TlCd6In8: relaxed, PBE.

DFT formation energy in eV per formula unit: 1.29
N(E_F) in states/eV/atom: 0.535

abc: 8.6908 8.6908 6.3085
angles: 90.00 90.00 120.00
Last column: nearest neighbours and their distance in Å.
Space group P-3 (No. 147)
Symmetry-distinct sites (fractional):
Tl (0.0000, 0.0000, 0.0000)  6 Cd 3.41, 6 In 3.81
Cd (0.1137, 0.6841, 0.0967)  5 In 3.02-3.35, 1 Cd 3.05
In (0.0141, 0.3321, 0.4043)  4 Cd 3.02-3.35, 4 In 3.07-3.28
In (0.3333, 0.6667, 0.7084)  6 In 3.11-3.43, 3 Cd 3.16